(1)
UZn17Au after structural relaxation, computed with PBE.

## Properties
electronic total energy: -36.60 eV per cell

a = 6.831 Å, b = 6.831 Å, c = 6.831 Å
α = 82.15°, β = 82.15°, γ = 82.15°
Site moments in Bohr magnetons follow the coordinates.
Atoms (fractional coordinates):
U1 0.661 0.661 0.661  2.47
Zn1 0.297 0.002 0.682  0.01
Zn2 0.682 0.297 0.002  0.01
Zn3 0.002 0.682 0.297  0.01
Zn4 0.297 0.682 0.002  0.01
Zn5 0.002 0.297 0.682  0.01
Zn6 0.682 0.002 0.297  0.01
Zn7 0.344 0.848 0.344  0.00
Zn8 0.344 0.344 0.848  0.00
Zn9 0.848 0.344 0.344  0.00
Zn10 0.650 0.148 0.650  0.00
Zn11 0.650 0.650 0.148  0.00
Zn12 0.148 0.650 0.650  0.00
Zn13 0.986 0.495 0.986  0.00
Zn14 0.986 0.986 0.495  0.00
Zn15 0.495 0.986 0.986  0.00
Zn16 0.898 0.898 0.898  0.01
Zn17 0.098 0.098 0.098  0.01
Au1 0.431 0.431 0.431  0.01


(2)
UZn3Au3 after structural relaxation, computed with PBE.

## Properties
electronic total energy: -45.28 eV per cell

a = 6.988 Å, b = 6.988 Å, c = 6.988 Å
α = 90.00°, β = 90.00°, γ = 90.00°
Site moments in Bohr magnetons follow the coordinates.
Atoms (fractional coordinates):
Au1 0.250 0.000 0.500  0.00
Au2 0.000 0.500 0.250  0.00
Au3 0.500 0.750 0.000  0.00
Au4 0.750 0.000 0.500  0.00
Au5 0.000 0.500 0.750  0.00
Au6 0.500 0.250 0.000  0.00
Zn1 0.000 0.250 0.500  0.00
Zn2 0.000 0.750 0.500  0.00
Zn3 0.500 0.000 0.750  0.00
Zn4 0.750 0.500 0.000  0.00
Zn5 0.500 0.000 0.250  0.00
Zn6 0.250 0.500 0.000  0.00
U1 0.500 0.500 0.500  3.09
U2 0.000 0.000 0.000  3.09


(3)
UZnAu4 after structural relaxation, computed with PBE.

## Properties
electronic total energy: -25.76 eV per cell

a = 5.567 Å, b = 5.567 Å, c = 5.567 Å
α = 60.00°, β = 60.00°, γ = 60.00°
Site moments in Bohr magnetons follow the coordinates.
Atoms (fractional coordinates):
Au1 0.626 0.626 0.123  -0.02
Au2 0.626 0.123 0.626  -0.02
Au3 0.626 0.626 0.626  -0.02
Au4 0.123 0.626 0.626  -0.02
Zn1 0.000 0.000 0.000  0.00
U1 0.250 0.250 0.250  2.50


(4)
UZn6Au12 after structural relaxation, computed with PBE.

## Properties
electronic total energy: -59.74 eV per cell

a = 7.494 Å, b = 7.494 Å, c = 7.494 Å
α = 105.79°, β = 105.79°, γ = 105.79°
Site moments in Bohr magnetons follow the coordinates.
Atoms (fractional coordinates):
U1 0.000 0.000 0.000  2.69
Zn1 0.693 0.288 0.288  0.00
Zn2 0.288 0.288 0.693  0.00
Zn3 0.288 0.693 0.288  0.00
Zn4 0.712 0.712 0.307  0.00
Zn5 0.307 0.712 0.712  0.00
Zn6 0.712 0.307 0.712  0.00
Au1 0.882 0.118 0.500  0.01
Au2 0.880 0.631 0.631  0.01
Au3 0.631 0.631 0.880  0.01
Au4 0.369 0.120 0.369  0.01
Au5 0.369 0.369 0.120  0.01
Au6 0.120 0.369 0.369  0.01
Au7 0.118 0.500 0.882  0.01
Au8 0.500 0.882 0.118  0.01
Au9 0.118 0.882 0.500  0.01
Au10 0.882 0.500 0.118  0.01
Au11 0.500 0.118 0.882  0.01
Au12 0.631 0.880 0.631  0.01


(5)
U2Zn12Au7 after structural relaxation, computed with PBE.

## Properties
electronic total energy: -63.75 eV per cell

a = 4.068 Å, b = 10.530 Å, c = 10.530 Å
α = 120.00°, β = 90.00°, γ = 90.00°
Site moments in Bohr magnetons follow the coordinates.
Atoms (fractional coordinates):
U1 0.248 0.333 0.667  2.53
U2 0.752 0.667 0.333  2.53
Zn1 0.250 0.611 0.042  0.00
Zn2 0.250 0.431 0.389  0.00
Zn3 0.250 0.958 0.569  0.00
Zn4 0.750 0.389 0.958  0.00
Zn5 0.750 0.569 0.611  0.00
Zn6 0.750 0.042 0.431  0.00
Zn7 0.244 0.110 0.264  0.00
Zn8 0.244 0.154 0.890  0.00
Zn9 0.244 0.736 0.846  0.00
Zn10 0.756 0.890 0.736  0.00
Zn11 0.756 0.846 0.110  0.00
Zn12 0.756 0.264 0.154  0.00
Au1 0.500 0.000 0.000  0.00
Au2 0.250 0.863 0.285  0.00
Au3 0.250 0.422 0.137  0.00
Au4 0.250 0.715 0.578  0.00
Au5 0.750 0.137 0.715  0.00
Au6 0.750 0.578 0.863  0.00
Au7 0.750 0.285 0.422  0.00


(6)
UZnAu after structural relaxation, computed with PBE.

## Properties
electronic total energy: -31.77 eV per cell

a = 2.848 Å, b = 2.848 Å, c = 13.340 Å
α = 90.00°, β = 90.00°, γ = 90.00°
Atoms (fractional coordinates):
Au1 0.000 0.500 0.587
Au2 0.500 0.000 0.413
Zn1 0.500 0.000 0.729
Zn2 0.000 0.500 0.271
U1 0.000 0.500 0.907
U2 0.500 0.000 0.093


(7)
UZn5Au7 after structural relaxation, computed with PBE.

## Properties
electronic total energy: -43.09 eV per cell

a = 5.297 Å, b = 7.116 Å, c = 7.116 Å
α = 83.74°, β = 68.15°, γ = 68.15°
Site moments in Bohr magnetons follow the coordinates.
Atoms (fractional coordinates):
U1 0.992 0.008 0.008  2.49
Zn1 0.502 0.997 0.496  0.00
Zn2 0.005 0.997 0.496  0.00
Zn3 0.502 0.496 0.997  0.00
Zn4 0.005 0.496 0.997  0.00
Zn5 0.738 0.762 0.762  0.00
Au1 0.650 0.350 0.350  0.01
Au2 0.322 0.678 0.678  0.01
Au3 0.996 0.341 0.668  0.01
Au4 0.996 0.668 0.341  0.01
Au5 0.269 0.231 0.231  0.01
Au6 0.511 0.802 0.176  0.01
Au7 0.511 0.176 0.802  0.01


(8)
UZnAu after structural relaxation, computed with PBE.

## Properties
electronic total energy: -15.99 eV per cell

a = 3.004 Å, b = 3.004 Å, c = 6.679 Å
α = 103.00°, β = 103.00°, γ = 90.00°
Site moments in Bohr magnetons follow the coordinates.
Atoms (fractional coordinates):
Au1 0.682 0.682 0.365  -0.01
Zn1 0.319 0.319 0.639  -0.01
U1 0.998 0.998 0.996  2.29


(9)
UZnAu6 after structural relaxation, computed with PBE.

## Properties
electronic total energy: -33.38 eV per cell

a = 4.770 Å, b = 4.840 Å, c = 8.048 Å
α = 86.46°, β = 72.76°, γ = 60.48°
Site moments in Bohr magnetons follow the coordinates.
Atoms (fractional coordinates):
U1 0.000 0.500 0.500  2.22
Zn1 0.000 0.000 0.000  0.00
Au1 0.237 0.866 0.660  -0.01
Au2 0.527 0.218 0.727  0.00
Au3 0.259 0.383 0.099  0.01
Au4 0.473 0.782 0.273  0.00
Au5 0.763 0.134 0.340  -0.01
Au6 0.741 0.617 0.901  0.01


(10)
UZn4Au2 after structural relaxation, computed with PBE.

## Properties
electronic total energy: -23.43 eV per cell

a = 2.885 Å, b = 4.141 Å, c = 10.669 Å
α = 101.20°, β = 97.69°, γ = 90.01°
Site moments in Bohr magnetons follow the coordinates.
Atoms (fractional coordinates):
U1 0.000 0.000 0.000  2.81
Zn1 0.152 0.152 0.303  0.00
Zn2 0.848 0.848 0.697  0.00
Zn3 0.230 0.730 0.461  -0.01
Zn4 0.770 0.270 0.539  -0.01
Au1 0.595 0.596 0.190  0.00
Au2 0.405 0.404 0.810  0.00


(11)
VAu after structural relaxation, computed with PBE.

## Properties
electronic total energy: -72.39 eV per cell

a = 12.112 Å, b = 2.737 Å, c = 6.151 Å
α = 90.00°, β = 90.00°, γ = 90.00°
Atoms (fractional coordinates):
V1 0.888 0.412 0.621
V2 0.612 0.588 0.121
V3 0.112 0.412 0.621
V4 0.388 0.588 0.121
V5 0.000 0.672 0.347
V6 0.500 0.328 0.847
Au1 0.800 0.085 0.239
Au2 0.700 0.915 0.739
Au3 0.200 0.085 0.239
Au4 0.300 0.915 0.739
Au5 0.000 0.949 0.935
Au6 0.500 0.051 0.435


(12)
VAu4 after structural relaxation, computed with PBE.

## Properties
electronic total energy: -17.25 eV per cell

a = 4.867 Å, b = 4.867 Å, c = 4.867 Å
α = 90.00°, β = 90.00°, γ = 90.00°
Site moments in Bohr magnetons follow the coordinates.
Atoms (fractional coordinates):
Au1 0.000 0.000 0.000  0.00
Au2 0.500 0.000 0.500  0.00
Au3 0.000 0.500 0.500  0.00
Au4 0.500 0.500 0.000  0.00
V1 0.500 0.500 0.500  0.09


(13)
V13Au2 after structural relaxation, computed with PBE.

## Properties
electronic total energy: -116.17 eV per cell

a = 6.686 Å, b = 6.686 Å, c = 7.702 Å
α = 64.28°, β = 64.28°, γ = 60.00°
Atoms (fractional coordinates):
V1 0.500 0.500 0.500
V2 0.377 0.000 0.245
V3 0.377 0.377 0.245
V4 0.000 0.377 0.245
V5 0.000 0.623 0.755
V6 0.623 0.000 0.755
V7 0.623 0.623 0.755
V8 0.261 0.869 0.609
V9 0.261 0.261 0.609
V10 0.869 0.261 0.609
V11 0.131 0.739 0.391
V12 0.739 0.131 0.391
V13 0.739 0.739 0.391
Au1 0.365 0.365 0.906
Au2 0.635 0.635 0.094


(14)
VAu4 after structural relaxation, computed with PBE.

## Properties
electronic total energy: -22.15 eV per cell

a = 4.049 Å, b = 5.048 Å, c = 5.045 Å
α = 80.73°, β = 66.37°, γ = 66.32°
Site moments in Bohr magnetons follow the coordinates.
Atoms (fractional coordinates):
Au1 0.603 0.191 0.602  -0.01
Au2 0.397 0.809 0.398  -0.01
Au3 0.795 0.602 0.809  -0.01
Au4 0.205 0.398 0.191  -0.01
V1 0.000 0.000 0.000  1.85


(15)
VAu after structural relaxation, computed with PBE.

## Properties
electronic total energy: -72.44 eV per cell

a = 8.826 Å, b = 8.826 Å, c = 3.036 Å
α = 90.00°, β = 90.00°, γ = 120.00°
Atoms (fractional coordinates):
V1 0.434 0.883 0.250
V2 0.551 0.434 0.750
V3 0.117 0.551 0.250
V4 0.566 0.117 0.750
V5 0.449 0.566 0.250
V6 0.883 0.449 0.750
Au1 0.847 0.179 0.250
Au2 0.668 0.847 0.750
Au3 0.821 0.668 0.250
Au4 0.153 0.821 0.750
Au5 0.332 0.153 0.250
Au6 0.179 0.332 0.750


(16)
VAu after structural relaxation, computed with PBE.

## Properties
electronic total energy: -189.05 eV per cell

a = 4.722 Å, b = 14.074 Å, c = 8.267 Å
α = 90.00°, β = 90.00°, γ = 90.00°
Atoms (fractional coordinates):
V1 0.000 0.432 0.000
V2 0.000 0.568 0.000
V3 0.250 0.318 0.250
V4 0.250 0.182 0.250
V5 0.000 0.932 0.500
V6 0.000 0.068 0.500
V7 0.250 0.818 0.750
V8 0.250 0.682 0.750
V9 0.500 0.432 0.500
V10 0.500 0.568 0.500
V11 0.750 0.318 0.750
V12 0.750 0.182 0.750
V13 0.500 0.932 0.000
V14 0.500 0.068 0.000
V15 0.750 0.818 0.250
V16 0.750 0.682 0.250
Au1 0.000 0.000 0.166
Au2 0.000 0.000 0.834
Au3 0.250 0.750 0.084
Au4 0.250 0.750 0.416
Au5 0.000 0.500 0.666
Au6 0.000 0.500 0.334
Au7 0.250 0.250 0.584
Au8 0.250 0.250 0.916
Au9 0.500 0.000 0.666
Au10 0.500 0.000 0.334
Au11 0.750 0.750 0.584
Au12 0.750 0.750 0.916
Au13 0.500 0.500 0.166
Au14 0.500 0.500 0.834
Au15 0.750 0.250 0.084
Au16 0.750 0.250 0.416


(17)
VAu after structural relaxation, computed with PBE.

## Properties
electronic total energy: -84.02 eV per cell

a = 7.873 Å, b = 7.873 Å, c = 7.873 Å
α = 90.00°, β = 90.00°, γ = 90.00°
Atoms (fractional coordinates):
V1 0.108 0.108 0.108
V2 0.108 0.892 0.892
V3 0.892 0.108 0.892
V4 0.892 0.892 0.108
V5 0.608 0.608 0.608
V6 0.608 0.392 0.392
V7 0.392 0.608 0.392
V8 0.392 0.392 0.608
Au1 0.298 0.298 0.298
Au2 0.298 0.702 0.702
Au3 0.702 0.298 0.702
Au4 0.702 0.702 0.298
Au5 0.798 0.798 0.798
Au6 0.798 0.202 0.202
Au7 0.202 0.798 0.202
Au8 0.202 0.202 0.798


(18)
V4Au after structural relaxation, computed with PBE.

## Properties
electronic total energy: -31.08 eV per cell

a = 4.733 Å, b = 4.733 Å, c = 4.733 Å
α = 90.00°, β = 90.00°, γ = 90.00°
Site moments in Bohr magnetons follow the coordinates.
Atoms (fractional coordinates):
Au1 0.500 0.500 0.500  0.06
V1 0.000 0.000 0.000  2.57
V2 0.500 0.000 0.500  0.86
V3 0.000 0.500 0.500  0.86
V4 0.500 0.500 0.000  0.86


(19)
VAu after structural relaxation, computed with PBE.

## Properties
electronic total energy: -60.53 eV per cell

a = 7.236 Å, b = 7.236 Å, c = 7.236 Å
α = 90.00°, β = 90.00°, γ = 90.00°
Site moments in Bohr magnetons follow the coordinates.
Atoms (fractional coordinates):
V1 0.250 0.500 0.000  2.38
V2 0.750 0.500 0.000  2.38
V3 0.500 0.000 0.250  2.38
V4 0.500 0.000 0.750  2.38
V5 0.000 0.250 0.500  2.38
V6 0.000 0.750 0.500  2.38
Au1 0.250 0.000 0.500  0.03
Au2 0.750 0.000 0.500  0.03
Au3 0.000 0.500 0.250  0.03
Au4 0.000 0.500 0.750  0.03
Au5 0.500 0.250 0.000  0.03
Au6 0.500 0.750 0.000  0.03


(20)
VAu after structural relaxation, computed with PBE.

## Properties
electronic total energy: -72.37 eV per cell

a = 4.290 Å, b = 4.858 Å, c = 9.153 Å
α = 90.00°, β = 90.00°, γ = 90.00°
Atoms (fractional coordinates):
V1 0.000 0.949 0.667
V2 0.500 0.051 0.833
V3 0.500 0.051 0.167
V4 0.000 0.949 0.333
V5 0.000 0.949 0.000
V6 0.500 0.051 0.500
Au1 0.000 0.412 0.833
Au2 0.500 0.588 0.667
Au3 0.500 0.588 0.333
Au4 0.000 0.412 0.167
Au5 0.000 0.412 0.500
Au6 0.500 0.588 0.000